Compound: AcVAgO4
Source: the Alexandria database
Functional: GGA+U
Structure: optimized geometry

Output
The density of states at the Fermi level is 0.02 states/eV per cell. The total energy comes out at -6.92 eV/atom.

Cell: 6.6032 5.3513 7.8310 Å, 90.00 103.91 90.00°
Closest atoms and distances in Å follow each position.
Space group P2_1/m (No. 11)
Asymmetric unit:
Ac  0.1979  0.2500  0.3951 x2  6 O 2.53-2.73
V  0.3249  0.7500  0.6778 x2  4 O 1.72-1.76
Ag  0.0708  0.2500  0.9488 x2  3 O 2.63-2.71
O  0.1549  0.0022  0.6715 x4  1 V 1.75
O  0.3801  0.7500  0.4694 x2  1 V 1.76
O  0.4309  0.2500  0.1817 x2  1 V 1.72